Entry from Alexandria: a crystal of ReSbW relaxed with PBEsol (SCAN).

Lattice parameters (Å, degrees): 2.9382 4.4505 4.4505 120.00 90.00 90.00
Fractional positions:
Re  0.0000  0.0000  0.0000
Sb  0.0000  0.3333  0.6667
W  0.5000  0.6667  0.3333

Output
Uncorrected energy ... -58.684 eV/atom
Uncorrected formation energy ... 0.665 eV per atom

=====

Entry from Alexandria: a crystal of CsO2 relaxed with PBEsol (SCAN).

Lattice parameters (Å, degrees): 4.0319 4.0319 3.7810 90.00 90.00 106.28
Each line ends with the local moment (μB).
Fractional positions:
Cs  0.5000  0.5000  0.0000  -0.01
O  0.1041  0.8959  0.5000  0.43
O  0.8959  0.1041  0.5000  0.43

Output
Uncorrected energy ... -17.703 eV/atom
Uncorrected formation energy ... -0.946 eV per atom

=====

> Among the records above, which one has the lowest uncorrected formation energy?

CsO2